No. 1
# Ba2OsAu | Alexandria via LeMat-Bulk | meta-GGA SCAN | PBEsol geometry
# - ΔH_f (0 K) (meV per atom) = 450.9
# - volume (A^3/atom) = 32.29
# - symmetry = P4mm
# - crystal system = tetragonal
# - E above lowest polymorph (kJ/mol of formula units) = 95
# - total moment (μB per cell) = 1.32
data_Ba2OsAu
_chemical_formula_sum 'Ba2 Os1 Au1'
_symmetry_space_group_name_H-M 'P 1'
_symmetry_Int_Tables_number 1
_symmetry_space_group_name_Hall 'P 1'
_cell_length_a 4.527
_cell_length_b 4.527
_cell_length_c 6.303
_cell_angle_alpha 90.00
_cell_angle_beta 90.00
_cell_angle_gamma 90.00
loop_
_atom_site_label
_atom_site_type_symbol
_atom_site_fract_x
_atom_site_fract_y
_atom_site_fract_z
Ba1 Ba 0.000 0.000 0.000
Ba2 Ba 0.500 0.500 0.500
Os1 Os 0.000 0.000 0.500
Au1 Au 0.500 0.500 0.001



No. 2
# Ba2OsAu | Alexandria via LeMat-Bulk | meta-GGA SCAN | PBEsol geometry
# - ΔH_f (0 K) (meV per atom) = 203.7
# - volume (A^3/atom) = 31.38
# - symmetry = Imm2
# - crystal system = orthorhombic
# - E above lowest polymorph (kJ/mol of formula units) = 0
# - total moment (μB per cell) = 0.00
data_Ba2OsAu
_chemical_formula_sum 'Ba4 Os2 Au2'
_symmetry_space_group_name_H-M 'P 1'
_symmetry_Int_Tables_number 1
_symmetry_space_group_name_Hall 'P 1'
_cell_length_a 4.542
_cell_length_b 4.958
_cell_length_c 11.148
_cell_angle_alpha 90.00
_cell_angle_beta 90.00
_cell_angle_gamma 90.00
loop_
_atom_site_label
_atom_site_type_symbol
_atom_site_fract_x
_atom_site_fract_y
_atom_site_fract_z
Ba1 Ba 0.000 0.000 0.000
Ba2 Ba 0.000 0.500 0.223
Ba3 Ba 0.500 0.000 0.723
Ba4 Ba 0.500 0.500 0.500
Os1 Os 0.000 0.500 0.837
Os2 Os 0.500 0.000 0.337
Au1 Au 0.000 0.000 0.429
Au2 Au 0.500 0.500 0.929



No. 3
# BaOsW2Au | Alexandria via LeMat-Bulk | meta-GGA SCAN | PBEsol geometry
# - ΔH_f (0 K) (meV per atom) = 4149.6
# - volume (A^3/atom) = 23.43
# - symmetry = P4/mmm
# - crystal system = tetragonal
# - total moment (μB per cell) = 2.66
data_BaOsW2Au
_chemical_formula_sum 'Ba1 Os1 W2 Au1'
_symmetry_space_group_name_H-M 'P 1'
_symmetry_Int_Tables_number 1
_symmetry_space_group_name_Hall 'P 1'
_cell_length_a 4.910
_cell_length_b 4.910
_cell_length_c 4.859
_cell_angle_alpha 90.00
_cell_angle_beta 90.00
_cell_angle_gamma 90.00
loop_
_atom_site_label
_atom_site_type_symbol
_atom_site_fract_x
_atom_site_fract_y
_atom_site_fract_z
Ba1 Ba 0.000 0.000 0.000
Os1 Os 0.000 0.000 0.500
W1 W 0.000 0.500 0.000
W2 W 0.500 0.000 0.000
Au1 Au 0.500 0.500 0.500



No. 4
# BaP4Au | Alexandria via LeMat-Bulk | meta-GGA SCAN | PBEsol geometry
# - ΔH_f (0 K) (meV per atom) = -128.3
# - volume (A^3/atom) = 21.17
# - symmetry = F-43m
# - crystal system = cubic
# - total moment (μB per cell) = 0.00
data_BaP4Au
_chemical_formula_sum 'Ba1 P4 Au1'
_symmetry_space_group_name_H-M 'P 1'
_symmetry_Int_Tables_number 1
_symmetry_space_group_name_Hall 'P 1'
_cell_length_a 5.643
_cell_length_b 5.643
_cell_length_c 5.643
_cell_angle_alpha 60.00
_cell_angle_beta 60.00
_cell_angle_gamma 60.00
loop_
_atom_site_label
_atom_site_type_symbol
_atom_site_fract_x
_atom_site_fract_y
_atom_site_fract_z
Ba1 Ba 0.000 0.000 0.000
P1 P 0.400 0.400 0.400
P2 P 0.400 0.400 0.801
P3 P 0.400 0.801 0.400
P4 P 0.801 0.400 0.400
Au1 Au 0.750 0.750 0.750